No. 1
First-principles (PBE) data for an optimized crystal structure of Cs3UI6, as listed in Alexandria.

```
data_Cs3UI6
_symmetry_space_group_name_H-M 'C 1 2/m 1'
_symmetry_Int_Tables_number 12
_cell_length_a 15.6898
_cell_length_b 9.2397
_cell_length_c 9.5391
_cell_angle_alpha 90.00
_cell_angle_beta 122.32
_cell_angle_gamma 90.00
loop_
_symmetry_equiv_pos_as_xyz
'x,y,z'
'-x,-y,-z'
'-x,y,-z'
'x,-y,z'
'x+1/2,y+1/2,z'
'-x+1/2,-y+1/2,-z'
'-x+1/2,y+1/2,-z'
'x+1/2,-y+1/2,z'
loop_
_atom_site_label
_atom_site_type_symbol
_atom_site_fract_x
_atom_site_fract_y
_atom_site_fract_z
Cs1 Cs 0.0000 0.0000 0.0000
Cs2 Cs 0.2427 0.0000 0.7223
U1 U 0.0000 0.5000 0.5000
I1 I 0.0721 0.2617 0.3517
I2 I 0.2144 0.5000 0.8311
```

Computed properties:
**Energy relative to the elements, uncorrected**: -1.27 eV/atom

No. 2
First-principles (PBE) data for an optimized crystal structure of NiAs2Ir, as listed in Alexandria.

```
data_NiAs2Ir
_symmetry_space_group_name_H-M 'C m m m'
_symmetry_Int_Tables_number 65
_symmetry_space_group_name_Hall '-C 2 2'
_cell_length_a 6.2444
_cell_length_b 6.2648
_cell_length_c 3.0429
_cell_angle_alpha 90.00
_cell_angle_beta 90.00
_cell_angle_gamma 90.00
loop_
_atom_site_label
_atom_site_type_symbol
_atom_site_fract_x
_atom_site_fract_y
_atom_site_fract_z
Ni1 Ni 0.0000 0.0000 0.0000
As1 As 0.2500 0.2500 0.5000
Ir1 Ir 0.0000 0.5000 0.0000
```

Computed properties:
**Formation enthalpy at 0 K**: 132 meV/atom